(1)
First-principles (meta-GGA SCAN) data for a crystal of ZnIn2Pb relaxed with PBEsol, as listed in the Alexandria database.

a = 3.3904 Å, b = 5.3070 Å, c = 6.1864 Å
α = 115.40°, β = 105.90°, γ = 90.00°
Last column: nearest neighbours and their distance in Å.
Sites, in units of the cell vectors:
Pb 0.5000 0.0000 0.0000  4 Zn 3.15, 2 Pb 3.39, 4 In 3.44
Zn 0.0000 0.5000 0.0000  4 In 2.89, 4 Pb 3.15
In 0.7193 0.7193 0.4386  2 Zn 2.89, 4 In 3.22
In 0.2807 0.2807 0.5614  2 Zn 2.89, 4 In 3.22

- energy (eV per cell) = -155.46
- N(E_F) (states/eV/f.u.) = 1.9
- total magnetic moment (μB per formula unit) = 0.00
- ΔH_f (0 K) (eV per atom) = 0.1513
- V (Å³ per atom) = 24.0


(2)
First-principles (meta-GGA SCAN) data for a crystal of Zn2In2Pb relaxed with PBEsol, as listed in the Alexandria database.

a = 3.5476 Å, b = 7.8787 Å, c = 7.8787 Å
α = 90.00°, β = 90.00°, γ = 90.00°
Last column: nearest neighbours and their distance in Å.
Sites, in units of the cell vectors:
Pb 0.0000 0.0000 0.0000  4 Zn 3.16, 8 In 3.40
Pb 0.0000 0.5000 0.5000  4 Zn 3.16, 8 In 3.40
Zn 0.0000 0.3835 0.8835  1 Zn 2.60, 2 In 2.89
Zn 0.0000 0.8835 0.6165  1 Zn 2.60, 2 In 2.89
Zn 0.0000 0.6165 0.1165  1 Zn 2.60, 2 In 2.89
Zn 0.0000 0.1165 0.3835  1 Zn 2.60, 2 In 2.89
In 0.5000 0.1791 0.6791  6 Zn 2.89-2.97
In 0.5000 0.6791 0.8209  6 Zn 2.89-2.97
In 0.5000 0.8209 0.3209  6 Zn 2.89-2.97
In 0.5000 0.3209 0.1791  6 Zn 2.89-2.97

- energy (eV per cell) = -337.70
- N(E_F) (states/eV/f.u.) = 2.0
- ΔE to the lowest computed polymorph (eV per atom) = 0.016
- total magnetic moment (μB per formula unit) = 0.00
- ΔH_f (0 K) (eV per atom) = 0.1469
- V (Å³ per atom) = 22.0


(3)
First-principles (meta-GGA SCAN) data for a crystal of ZnIn2Pb relaxed with PBEsol, as listed in the Alexandria database.

a = 3.5774 Å, b = 5.2934 Å, c = 6.0433 Å
α = 115.97°, β = 107.22°, γ = 90.00°
Last column: nearest neighbours and their distance in Å.
Sites, in units of the cell vectors:
In 0.9730 0.9730 0.9460  2 Zn 2.84
In 0.7436 0.2436 0.4871  4 Zn 3.20, 6 In 3.30-3.58, 4 Pb 3.40-3.47
Pb 0.5252 0.5252 0.0504  2 Zn 2.99, 4 In 3.24
Zn 0.2582 0.7582 0.5164  2 In 2.84, 2 Pb 2.99

- energy (eV per cell) = -155.38
- N(E_F) (states/eV/f.u.) = 1.7
- total magnetic moment (μB per formula unit) = 0.00
- ΔH_f (0 K) (eV per atom) = 0.1722
- V (Å³ per atom) = 24.3


(4)
First-principles (meta-GGA SCAN) data for a crystal of Zn2InPb relaxed with PBEsol, as listed in the Alexandria database.

a = 4.3629 Å, b = 5.0024 Å, c = 5.1507 Å
α = 119.05°, β = 115.06°, γ = 90.00°
Last column: nearest neighbours and their distance in Å.
Sites, in units of the cell vectors:
In 0.5000 0.0000 0.0000  8 Zn 2.89-3.23
Pb 0.0000 0.5000 0.0000  8 Zn 2.99-3.14, 4 In 3.32
Zn 0.7592 0.7592 0.5184  4 In 2.89-3.23, 4 Pb 2.99-3.14
Zn 0.2408 0.2408 0.4816  4 In 2.89-3.23, 4 Pb 2.99-3.14

- energy (eV per cell) = -135.24
- N(E_F) (states/eV/f.u.) = 1.5
- ΔE to the lowest computed polymorph (eV per atom) = 0.120
- total magnetic moment (μB per formula unit) = 0.00
- ΔH_f (0 K) (eV per atom) = 0.2391
- V (Å³ per atom) = 21.5


(5)
First-principles (meta-GGA SCAN) data for a crystal of Zn2InPb relaxed with PBEsol, as listed in the Alexandria database.

a = 4.0289 Å, b = 4.1723 Å, c = 5.4679 Å
α = 90.00°, β = 111.65°, γ = 90.00°
Last column: nearest neighbours and their distance in Å.
Sites, in units of the cell vectors:
Pb 0.6007 0.5000 0.8261  7 Zn 2.81-3.04
Zn 0.1806 0.0000 0.9824  2 Zn 2.56
Zn 0.3228 0.5000 0.2727  2 Zn 2.56, 1 Pb 2.81
In 0.8959 0.0000 0.4188  7 Zn 2.86-3.00

- energy (eV per cell) = -135.72
- N(E_F) (states/eV/f.u.) = 1.4
- ΔE to the lowest computed polymorph (eV per atom) = 0.000
- total magnetic moment (μB per formula unit) = 0.00
- ΔH_f (0 K) (eV per atom) = 0.1195
- V (Å³ per atom) = 21.4


(6)
First-principles (meta-GGA SCAN) data for a crystal of Zn2InPb relaxed with PBEsol, as listed in the Alexandria database.

a = 3.3673 Å, b = 3.3673 Å, c = 9.1373 Å
α = 79.38°, β = 79.38°, γ = 60.00°
Last column: nearest neighbours and their distance in Å.
Sites, in units of the cell vectors:
In 0.4887 0.4887 0.5338  3 Zn 2.90
Pb 0.2578 0.2578 0.2266  3 Zn 3.04, 3 In 3.36, 6 Pb 3.37
Zn 0.0118 0.0118 0.9646  3 Zn 2.58
Zn 0.7417 0.7417 0.7750  3 Zn 2.58

- energy (eV per cell) = -135.50
- N(E_F) (states/eV/f.u.) = 1.6
- ΔE to the lowest computed polymorph (eV per atom) = 0.055
- total magnetic moment (μB per formula unit) = 0.00
- ΔH_f (0 K) (eV per atom) = 0.1750
- V (Å³ per atom) = 21.9


(7)
First-principles (meta-GGA SCAN) data for a crystal of Zn2InPb2 relaxed with PBEsol, as listed in the Alexandria database.

a = 4.5534 Å, b = 7.1500 Å, c = 7.1500 Å
α = 90.00°, β = 90.00°, γ = 90.00°
Last column: nearest neighbours and their distance in Å.
Sites, in units of the cell vectors:
Pb 0.5000 0.1773 0.6773  6 Zn 3.03-3.16
Pb 0.5000 0.6773 0.8227  6 Zn 3.03-3.16
Pb 0.5000 0.8227 0.3227  6 Zn 3.03-3.16
Pb 0.5000 0.3227 0.1773  6 Zn 3.03-3.16
Zn 0.0000 0.3754 0.8754  1 Zn 2.52
Zn 0.0000 0.8754 0.6246  1 Zn 2.52
Zn 0.0000 0.6246 0.1246  1 Zn 2.52
Zn 0.0000 0.1246 0.3754  1 Zn 2.52
In 0.0000 0.0000 0.0000  4 Zn 2.83
In 0.0000 0.5000 0.5000  4 Zn 2.83

- energy (eV per cell) = -422.61
- N(E_F) (states/eV/f.u.) = 2.1
- ΔE to the lowest computed polymorph (eV per atom) = 0.002
- total magnetic moment (μB per formula unit) = 0.00
- ΔH_f (0 K) (eV per atom) = 0.1348
- V (Å³ per atom) = 23.3


(8)
First-principles (meta-GGA SCAN) data for a crystal of ZnIn2Pb relaxed with PBEsol, as listed in the Alexandria database.

a = 3.4214 Å, b = 3.4214 Å, c = 8.2507 Å
α = 90.00°, β = 90.00°, γ = 90.00°
Last column: nearest neighbours and their distance in Å.
Sites, in units of the cell vectors:
Pb 0.0000 0.0000 0.5333  4 Zn 3.08, 4 Pb 3.42, 4 In 3.44
Zn 0.5000 0.5000 0.7638  4 In 2.94, 4 Pb 3.08
In 0.0000 0.0000 0.9668  4 Zn 2.94, 4 In 3.28
In 0.5000 0.5000 0.2361  8 In 3.28-3.42, 4 Pb 3.44

- energy (eV per cell) = -155.51
- N(E_F) (states/eV/f.u.) = 1.7
- total magnetic moment (μB per formula unit) = 0.00
- ΔH_f (0 K) (eV per atom) = 0.1402
- V (Å³ per atom) = 24.1


(9)
First-principles (meta-GGA SCAN) data for a crystal of Zn2In2Pb relaxed with PBEsol, as listed in the Alexandria database.

a = 4.2567 Å, b = 4.2567 Å, c = 6.9376 Å
α = 107.87°, β = 107.87°, γ = 90.00°
Last column: nearest neighbours and their distance in Å.
Sites, in units of the cell vectors:
Pb 0.0000 0.0000 0.0000  8 In 3.33
Zn 0.2500 0.7500 0.5000  4 In 2.73, 4 Zn 3.01
Zn 0.7500 0.2500 0.5000  4 In 2.73, 4 Zn 3.01
In 0.3864 0.3864 0.7727  4 Zn 2.73, 1 In 2.84
In 0.6136 0.6136 0.2273  4 Zn 2.73, 1 In 2.84

- energy (eV per cell) = -168.93
- N(E_F) (states/eV/f.u.) = 1.4
- ΔE to the lowest computed polymorph (eV per atom) = 0.000
- total magnetic moment (μB per formula unit) = 0.00
- ΔH_f (0 K) (eV per atom) = 0.1313
- V (Å³ per atom) = 22.7


(10)
First-principles (meta-GGA SCAN) data for a crystal of Zn2InPb2 relaxed with PBEsol, as listed in the Alexandria database.

a = 3.5907 Å, b = 3.5907 Å, c = 9.6816 Å
α = 100.69°, β = 100.69°, γ = 90.00°
Last column: nearest neighbours and their distance in Å.
Sites, in units of the cell vectors:
Pb 0.3807 0.3807 0.7614  4 Zn 3.03, 4 In 3.38
Pb 0.6193 0.6193 0.2386  4 Zn 3.03, 4 In 3.38
Zn 0.2500 0.7500 0.5000  4 Zn 2.54
Zn 0.7500 0.2500 0.5000  4 Zn 2.54
In 0.0000 0.0000 0.0000  8 Pb 3.38, 4 In 3.59

- energy (eV per cell) = -211.32
- N(E_F) (states/eV/f.u.) = 2.2
- ΔE to the lowest computed polymorph (eV per atom) = 0.000
- total magnetic moment (μB per formula unit) = 0.00
- ΔH_f (0 K) (eV per atom) = 0.1327
- V (Å³ per atom) = 24.1


(11)
First-principles (meta-GGA SCAN) data for a crystal of Zn2InPb relaxed with PBEsol, as listed in the Alexandria database.

a = 3.4017 Å, b = 4.9857 Å, c = 5.9034 Å
α = 114.98°, β = 106.75°, γ = 90.00°
Last column: nearest neighbours and their distance in Å.
Sites, in units of the cell vectors:
In 0.4802 0.4802 0.9604  6 Zn 3.06-3.11, 4 Pb 3.30-3.37, 2 In 3.40
Pb 0.2668 0.7668 0.5336  6 Zn 3.05-3.16, 4 In 3.30-3.37, 2 Pb 3.40
Zn 0.0290 0.0290 0.0580  2 Zn 2.61
Zn 0.7240 0.2240 0.4480  2 Zn 2.61

- energy (eV per cell) = -135.28
- N(E_F) (states/eV/f.u.) = 1.7
- ΔE to the lowest computed polymorph (eV per atom) = 0.109
- total magnetic moment (μB per formula unit) = 0.00
- ΔH_f (0 K) (eV per atom) = 0.2287
- V (Å³ per atom) = 21.5


(12)
First-principles (meta-GGA SCAN) data for a crystal of ZnIn2Pb relaxed with PBEsol, as listed in the Alexandria database.

a = 3.3620 Å, b = 3.3620 Å, c = 8.4626 Å
α = 90.00°, β = 90.00°, γ = 90.00°
Last column: nearest neighbours and their distance in Å.
Sites, in units of the cell vectors:
Pb 0.5000 0.5000 0.0000  4 Pb 3.36, 8 In 3.41
Zn 0.5000 0.5000 0.5000  8 In 2.97
In 0.0000 0.0000 0.7106  4 Zn 2.97
In 0.0000 0.0000 0.2894  4 Zn 2.97

- energy (eV per cell) = -155.54
- N(E_F) (states/eV/f.u.) = 1.9
- total magnetic moment (μB per formula unit) = 0.00
- ΔH_f (0 K) (eV per atom) = 0.1313
- V (Å³ per atom) = 23.9


Repeat the seventh record exactly.
First-principles (meta-GGA SCAN) data for a crystal of Zn2InPb2 relaxed with PBEsol, as listed in the Alexandria database.

a = 4.5534 Å, b = 7.1500 Å, c = 7.1500 Å
α = 90.00°, β = 90.00°, γ = 90.00°
Last column: nearest neighbours and their distance in Å.
Sites, in units of the cell vectors:
Pb 0.5000 0.1773 0.6773  6 Zn 3.03-3.16
Pb 0.5000 0.6773 0.8227  6 Zn 3.03-3.16
Pb 0.5000 0.8227 0.3227  6 Zn 3.03-3.16
Pb 0.5000 0.3227 0.1773  6 Zn 3.03-3.16
Zn 0.0000 0.3754 0.8754  1 Zn 2.52
Zn 0.0000 0.8754 0.6246  1 Zn 2.52
Zn 0.0000 0.6246 0.1246  1 Zn 2.52
Zn 0.0000 0.1246 0.3754  1 Zn 2.52
In 0.0000 0.0000 0.0000  4 Zn 2.83
In 0.0000 0.5000 0.5000  4 Zn 2.83

- energy (eV per cell) = -422.61
- N(E_F) (states/eV/f.u.) = 2.1
- ΔE to the lowest computed polymorph (eV per atom) = 0.002
- total magnetic moment (μB per formula unit) = 0.00
- ΔH_f (0 K) (eV per atom) = 0.1348
- V (Å³ per atom) = 23.3


Copy entry 12 word for word.
First-principles (meta-GGA SCAN) data for a crystal of ZnIn2Pb relaxed with PBEsol, as listed in the Alexandria database.

a = 3.3620 Å, b = 3.3620 Å, c = 8.4626 Å
α = 90.00°, β = 90.00°, γ = 90.00°
Last column: nearest neighbours and their distance in Å.
Sites, in units of the cell vectors:
Pb 0.5000 0.5000 0.0000  4 Pb 3.36, 8 In 3.41
Zn 0.5000 0.5000 0.5000  8 In 2.97
In 0.0000 0.0000 0.7106  4 Zn 2.97
In 0.0000 0.0000 0.2894  4 Zn 2.97

- energy (eV per cell) = -155.54
- N(E_F) (states/eV/f.u.) = 1.9
- total magnetic moment (μB per formula unit) = 0.00
- ΔH_f (0 K) (eV per atom) = 0.1313
- V (Å³ per atom) = 23.9


- Which formula does entry 1 have?
  ZnIn2Pb